Record 1
Density functional theory data (PBEsol) for an optimized crystal structure of TaCdRe2.

Geometry as POSCAR:
```
TaCdRe2
1.0
3.154 0.000 0.000
0.000 4.576 0.000
-1.577 -2.288 4.525
Cd Re Ta
1 2 1
direct
0.000 0.500 0.000 Cd
0.764 0.764 0.529 Re
0.236 0.236 0.471 Re
0.500 0.000 0.000 Ta
```

The calculation puts the size of the total moment at 0.00 μB per formula unit. For the energy of formation from the pure elements, the calculation gives 0.363 eV/atom. The electronic total energy is -39.0 eV per cell.

=====

Record 2
Density functional theory data (PBEsol) for an optimized crystal structure of Ta2CdRe.

Geometry as POSCAR:
```
Ta2CdRe
1.0
-2.610 -1.724 1.447
1.782 -3.917 -1.451
2.696 2.483 3.714
Re Cd Ta
1 1 2
direct
0.500 0.000 0.000 Re
0.000 0.500 0.000 Cd
0.768 0.768 0.537 Ta
0.232 0.232 0.463 Ta
```

The calculation puts the size of the total moment at 0.00 μB per formula unit. For the energy of formation from the pure elements, the calculation gives 0.204 eV/atom. The electronic total energy is -38.8 eV per cell.

=====

Record 3
Density functional theory data (PBEsol) for an optimized crystal structure of TaCd2Re.

Geometry as POSCAR:
```
TaCd2Re
1.0
-0.711 -2.524 -0.815
3.009 1.805 -4.120
2.781 -1.423 4.557
Re Cd Ta
1 2 1
direct
0.500 0.000 0.000 Re
0.000 0.000 0.500 Cd
0.500 0.500 0.500 Cd
0.000 0.500 0.000 Ta
```

The calculation puts the size of the total moment at 0.00 μB per formula unit. The energy above the most stable polymorph in this dataset is 0.0635 eV per atom. For the energy of formation from the pure elements, the calculation gives 0.439 eV/atom. The electronic total energy is -26.5 eV per cell.